Entry from the Alexandria database: crystalline CaCuIr at its relaxed geometry (GGA-PBE).

The space group is R-3m (No. 166, hexagonal axes) and the conventional cell measures 5.3049, 5.3049 and 39.5744 Å, with angles of 90.00, 90.00 and 120.00 degrees. Symmetry generates all atoms from Ca at (0.0000, 0.0000, 0.0405), Ca at (0.0000, 0.0000, 0.1805), Ca at (0.0000, 0.0000, 0.2665), Cu at (0.0026, 0.5013, 0.2222), Ir at (0.0000, 0.0000, 0.3895), Ir at (0.0000, 0.0000, 0.5000) and Ir at (0.0000, 0.5000, 0.0000).

As for the density: 9.17 Mg/m³. For the energy relative to the elements, the calculation gives -0.30 eV per atom. Its uncorrected energy is -5.29 eV/atom.


Entry from the Alexandria database: crystalline CaCu2Ir2 at its relaxed geometry (GGA-PBE).

The space group is I4/mmm (No. 139) and the conventional cell measures 4.3109, 4.3109 and 9.6431 Å, with angles of 90.00, 90.00 and 90.00 degrees. Symmetry generates all atoms from Ca at (0.0000, 0.0000, 0.0000), Cu at (0.0000, 0.5000, 0.2500) and Ir at (0.0000, 0.0000, 0.3775).

As for the density: 10.22 Mg/m³. For the energy relative to the elements, the calculation gives 0.06 eV per atom. Its uncorrected energy is -5.52 eV/atom.


Look up the uncorrected energy of the first one.
-5.29 eV/atom


Which of these has the highest uncorrected energy?
CaCuIr